No. 1
Crystalline NbVSi at its relaxed geometry, computed with PBE.

Structure (CIF):
```
data_NbVSi
_chemical_formula_sum 'Nb8 V8 Si8'
_symmetry_space_group_name_H-M 'A m m 2'
_symmetry_Int_Tables_number 38
_symmetry_space_group_name_Hall 'A 2 -2'
_cell_length_a 8.310
_cell_length_b 4.994
_cell_length_c 8.464
_cell_angle_alpha 90.00
_cell_angle_beta 90.00
_cell_angle_gamma 90.00
loop_
_atom_site_label
_atom_site_type_symbol
_atom_site_fract_x
_atom_site_fract_y
_atom_site_fract_z
_atom_site_occupancy
Nb1 Nb 0.187 0.000 0.000 1
Nb2 Nb 0.308 0.000 0.673 1
V1 V 0.000 0.000 0.497 1
V2 V 0.500 0.000 0.170 1
V3 V 0.500 0.244 0.927 1
Si1 Si 0.000 0.243 0.745 1
Si2 Si 0.254 0.000 0.343 1
```

## Properties
Uncorrected formation energy ... -421 meV/atom
Density of states at the Fermi level ... 18.0 states/eV/cell

=====

No. 2
Crystalline K2ScBeAs at its relaxed geometry, computed with PBE.

Structure (CIF):
```
data_K2ScBeAs
_chemical_formula_sum 'K2 Sc1 Be1 As1'
_symmetry_space_group_name_H-M 'P 4/m m m'
_symmetry_Int_Tables_number 123
_symmetry_space_group_name_Hall '-P 4 2'
_cell_length_a 5.302
_cell_length_b 5.302
_cell_length_c 5.375
_cell_angle_alpha 90.00
_cell_angle_beta 90.00
_cell_angle_gamma 90.00
loop_
_atom_site_label
_atom_site_type_symbol
_atom_site_fract_x
_atom_site_fract_y
_atom_site_fract_z
_atom_site_occupancy
K1 K 0.000 0.500 0.000 1
Sc1 Sc 0.000 0.000 0.500 1
Be1 Be 0.000 0.000 0.000 1
As1 As 0.500 0.500 0.500 1
```

## Properties
Density of states at the Fermi level ... 3.8 states/eV/cell
Formation energy ... 0.705 eV/atom

=====

No. 3
Crystalline LiPr2Sn2 at its relaxed geometry, computed with PBE.

Structure (CIF):
```
data_LiPr2Sn2
_chemical_formula_sum 'Li4 Pr8 Sn8'
_symmetry_space_group_name_H-M 'C 1 2/m 1'
_symmetry_Int_Tables_number 12
_symmetry_space_group_name_Hall '-C 2y'
_cell_length_a 11.668
_cell_length_b 4.736
_cell_length_c 11.331
_cell_angle_alpha 90.00
_cell_angle_beta 117.81
_cell_angle_gamma 90.00
loop_
_atom_site_label
_atom_site_type_symbol
_atom_site_fract_x
_atom_site_fract_y
_atom_site_fract_z
_atom_site_occupancy
Li1 Li 0.224 0.000 0.359 1
Pr1 Pr 0.016 0.500 0.335 1
Pr2 Pr 0.185 0.500 0.096 1
Sn1 Sn 0.018 0.000 0.878 1
Sn2 Sn 0.143 0.000 0.577 1
```

## Properties
Density of states at the Fermi level ... 12.2 states/eV/cell
Formation energy ... -0.675 eV/atom

=====

What did the first record say?
Crystalline NbVSi at its relaxed geometry, computed with PBE.

Structure (CIF):
```
data_NbVSi
_chemical_formula_sum 'Nb8 V8 Si8'
_symmetry_space_group_name_H-M 'A m m 2'
_symmetry_Int_Tables_number 38
_symmetry_space_group_name_Hall 'A 2 -2'
_cell_length_a 8.310
_cell_length_b 4.994
_cell_length_c 8.464
_cell_angle_alpha 90.00
_cell_angle_beta 90.00
_cell_angle_gamma 90.00
loop_
_atom_site_label
_atom_site_type_symbol
_atom_site_fract_x
_atom_site_fract_y
_atom_site_fract_z
_atom_site_occupancy
Nb1 Nb 0.187 0.000 0.000 1
Nb2 Nb 0.308 0.000 0.673 1
V1 V 0.000 0.000 0.497 1
V2 V 0.500 0.000 0.170 1
V3 V 0.500 0.244 0.927 1
Si1 Si 0.000 0.243 0.745 1
Si2 Si 0.254 0.000 0.343 1
```

## Properties
Uncorrected formation energy ... -421 meV/atom
Density of states at the Fermi level ... 18.0 states/eV/cell

=====

What did the first record say?
Crystalline NbVSi at its relaxed geometry, computed with PBE.

Structure (CIF):
```
data_NbVSi
_chemical_formula_sum 'Nb8 V8 Si8'
_symmetry_space_group_name_H-M 'A m m 2'
_symmetry_Int_Tables_number 38
_symmetry_space_group_name_Hall 'A 2 -2'
_cell_length_a 8.310
_cell_length_b 4.994
_cell_length_c 8.464
_cell_angle_alpha 90.00
_cell_angle_beta 90.00
_cell_angle_gamma 90.00
loop_
_atom_site_label
_atom_site_type_symbol
_atom_site_fract_x
_atom_site_fract_y
_atom_site_fract_z
_atom_site_occupancy
Nb1 Nb 0.187 0.000 0.000 1
Nb2 Nb 0.308 0.000 0.673 1
V1 V 0.000 0.000 0.497 1
V2 V 0.500 0.000 0.170 1
V3 V 0.500 0.244 0.927 1
Si1 Si 0.000 0.243 0.745 1
Si2 Si 0.254 0.000 0.343 1
```

## Properties
Uncorrected formation energy ... -421 meV/atom
Density of states at the Fermi level ... 18.0 states/eV/cell

=====

- The highest density of states at the Fermi level belongs to which entry?
  NbVSi

=====

- The highest density of states at the Fermi level belongs to which entry?
  NbVSi